Crystalline PuMgAu4 at its relaxed geometry, computed with PBE-GGA.

Cell: 5.6075 5.6075 5.6075 Å, 60.00 60.00 60.00°
Site moments in Bohr magnetons follow the coordinates.
Fractional positions:
Mg1 0.0000 0.0000 0.0000  0.00
Au1 0.6254 0.6254 0.1238  0.00
Au2 0.6254 0.1238 0.6254  0.00
Au3 0.6254 0.6254 0.6254  0.00
Au4 0.1238 0.6254 0.6254  0.00
Pu1 0.2500 0.2500 0.2500  5.35

* formation energy from the elements: -0.317 eV/atom
* offset from the most stable computed form: 0.100 eV/atom
* SG: F-43m
* DOS at the Fermi energy: 17.2 states/eV per cell